Material: Sc3Pd7
Method: DFT, PBE
State: relaxed

Cell lengths 4.090, 5.648, 7.630 Å; angles 103.69, 105.55, 90.00 degrees
Atoms (fractional coordinates):
Sc  0.000  0.000  0.000
Sc  0.811  0.370  0.622
Sc  0.189  0.630  0.378
Pd  0.000  0.500  0.000
Pd  0.797  0.874  0.594
Pd  0.203  0.126  0.406
Pd  0.605  0.321  0.210
Pd  0.395  0.679  0.790
Pd  0.597  0.816  0.194
Pd  0.403  0.184  0.806

Results
* N(E_F): 0.36 states/eV/atom
* formation energy: -8.846 eV per formula unit
* total DFT energy (no corrections): -6.419 eV per atom
* magnetic moment: 0.0 μB per formula unit